[1]
First-principles (PBE) data for a relaxed structure of KZnTc2, as listed in Alexandria via LeMat-Bulk.

Properties
M_tot in μB per formula unit: 0.000

abc: 2.840 2.840 30.907
angles: 90.00 90.00 120.00
Fractional coordinates of all 12 atoms:
1 K 0.000 0.000 0.000
2 K 0.333 0.667 0.667
3 K 0.667 0.333 0.333
4 Zn 0.000 0.000 0.764
5 Zn 0.333 0.667 0.430
6 Zn 0.667 0.333 0.097
7 Tc 0.000 0.000 0.236
8 Tc 0.000 0.000 0.504
9 Tc 0.333 0.667 0.170
10 Tc 0.333 0.667 0.902
11 Tc 0.667 0.333 0.569
12 Tc 0.667 0.333 0.837

[2]
First-principles (PBE) data for a relaxed structure of KZnTc2, as listed in Alexandria via LeMat-Bulk.

Properties
M_tot in μB per formula unit: 1.010

abc: 2.784 2.784 31.248
angles: 90.00 90.00 120.00
Fractional coordinates of all 12 atoms:
1 K 0.000 0.000 0.000
2 K 0.333 0.667 0.667
3 K 0.667 0.333 0.333
4 Zn 0.000 0.000 0.500
5 Zn 0.333 0.667 0.167
6 Zn 0.667 0.333 0.833
7 Tc 0.000 0.000 0.237
8 Tc 0.000 0.000 0.763
9 Tc 0.333 0.667 0.429
10 Tc 0.333 0.667 0.904
11 Tc 0.667 0.333 0.096
12 Tc 0.667 0.333 0.571

[3]
First-principles (PBE) data for a relaxed structure of KZn3Tc, as listed in Alexandria via LeMat-Bulk.

Properties
M_tot in μB per formula unit: 0.827

abc: 4.964 4.964 4.964
angles: 90.00 90.00 90.00
Fractional coordinates of all 5 atoms:
1 K 0.000 0.000 0.000
2 Zn 0.000 0.500 0.500
3 Zn 0.500 0.000 0.500
4 Zn 0.500 0.500 0.000
5 Tc 0.500 0.500 0.500

[4]
First-principles (PBE) data for a relaxed structure of KZnTc2, as listed in Alexandria via LeMat-Bulk.

Properties
M_tot in μB per formula unit: 0.000

abc: 8.357 2.744 7.519
angles: 90.00 92.63 90.00
Fractional coordinates of all 8 atoms:
1 K 0.000 0.000 0.000
2 K 0.500 0.500 0.000
3 Zn 0.258 0.500 0.339
4 Zn 0.758 0.000 0.339
5 Tc 0.235 0.000 0.655
6 Tc 0.487 0.000 0.523
7 Tc 0.735 0.500 0.655
8 Tc 0.987 0.500 0.523

[5]
First-principles (PBE) data for a relaxed structure of KZnTc2, as listed in Alexandria via LeMat-Bulk.

Properties
M_tot in μB per formula unit: 0.002

abc: 3.361 3.361 7.700
angles: 90.00 90.00 90.00
Fractional coordinates of all 4 atoms:
1 K 0.000 0.000 0.000
2 Zn 0.000 0.000 0.500
3 Tc 0.500 0.500 0.356
4 Tc 0.500 0.500 0.644

[6]
First-principles (PBE) data for a relaxed structure of KZnTc2, as listed in Alexandria via LeMat-Bulk.

Properties
M_tot in μB per formula unit: 0.000

abc: 12.049 2.649 4.953
angles: 90.00 114.18 90.00
Fractional coordinates of all 8 atoms:
1 K 0.000 0.000 0.000
2 K 0.500 0.500 0.000
3 Zn 0.000 0.500 0.500
4 Zn 0.500 0.000 0.500
5 Tc 0.216 0.000 0.716
6 Tc 0.284 0.500 0.284
7 Tc 0.716 0.500 0.716
8 Tc 0.784 0.000 0.284

[7]
First-principles (PBE) data for a relaxed structure of KZnTc2, as listed in Alexandria via LeMat-Bulk.

Properties
M_tot in μB per formula unit: 0.001

abc: 3.824 3.824 10.045
angles: 90.00 90.00 90.00
Fractional coordinates of all 8 atoms:
1 K 0.000 0.000 0.000
2 K 0.500 0.500 0.500
3 Zn 0.000 0.000 0.500
4 Zn 0.500 0.500 0.000
5 Tc 0.000 0.500 0.250
6 Tc 0.000 0.500 0.750
7 Tc 0.500 0.000 0.250
8 Tc 0.500 0.000 0.750

[8]
First-principles (PBE) data for a relaxed structure of KZnTc2, as listed in Alexandria via LeMat-Bulk.

Properties
M_tot in μB per formula unit: 0.000

abc: 5.483 10.250 2.533
angles: 90.00 90.00 90.00
Fractional coordinates of all 8 atoms:
1 K 0.000 0.000 0.000
2 K 0.500 0.500 0.000
3 Zn 0.000 0.500 0.000
4 Zn 0.500 0.000 0.000
5 Tc 0.250 0.250 0.500
6 Tc 0.250 0.750 0.500
7 Tc 0.750 0.250 0.500
8 Tc 0.750 0.750 0.500

[9]
First-principles (PBE) data for a relaxed structure of KZnTc2, as listed in Alexandria via LeMat-Bulk.

Properties
M_tot in μB per formula unit: 0.790

abc: 4.437 4.437 19.455
angles: 90.00 90.00 90.00
Fractional coordinates of all 16 atoms:
1 K 0.000 0.000 0.000
2 K 0.000 0.500 0.250
3 K 0.500 0.000 0.750
4 K 0.500 0.500 0.500
5 Zn 0.000 0.000 0.500
6 Zn 0.000 0.500 0.750
7 Zn 0.500 0.000 0.250
8 Zn 0.500 0.500 0.000
9 Tc 0.075 0.750 0.625
10 Tc 0.250 0.075 0.375
11 Tc 0.250 0.425 0.875
12 Tc 0.425 0.750 0.125
13 Tc 0.575 0.250 0.125
14 Tc 0.750 0.575 0.875
15 Tc 0.750 0.925 0.375
16 Tc 0.925 0.250 0.625

[10]
First-principles (PBE) data for a relaxed structure of KZnTc2, as listed in Alexandria via LeMat-Bulk.

Properties
M_tot in μB per formula unit: 0.001

abc: 6.517 6.517 6.517
angles: 90.00 90.00 90.00
Fractional coordinates of all 16 atoms:
1 K 0.000 0.000 0.000
2 K 0.000 0.500 0.500
3 K 0.500 0.000 0.500
4 K 0.500 0.500 0.000
5 Zn 0.250 0.250 0.250
6 Zn 0.250 0.750 0.750
7 Zn 0.750 0.250 0.750
8 Zn 0.750 0.750 0.250
9 Tc 0.000 0.000 0.500
10 Tc 0.000 0.500 0.000
11 Tc 0.250 0.250 0.750
12 Tc 0.250 0.750 0.250
13 Tc 0.500 0.000 0.000
14 Tc 0.500 0.500 0.500
15 Tc 0.750 0.250 0.250
16 Tc 0.750 0.750 0.750

[11]
First-principles (PBE) data for a relaxed structure of KZnTc2, as listed in Alexandria via LeMat-Bulk.

Properties
M_tot in μB per formula unit: 0.000

abc: 2.970 4.673 10.374
angles: 90.00 90.00 90.00
Fractional coordinates of all 8 atoms:
1 K 0.000 0.000 0.000
2 K 0.500 0.500 0.000
3 Zn 0.000 0.500 0.294
4 Zn 0.500 0.000 0.294
5 Tc 0.000 0.000 0.514
6 Tc 0.000 0.500 0.716
7 Tc 0.500 0.000 0.716
8 Tc 0.500 0.500 0.514

[12]
First-principles (PBE) data for a relaxed structure of KZnTc2, as listed in Alexandria via LeMat-Bulk.

Properties
M_tot in μB per formula unit: 0.002

abc: 2.715 4.925 5.366
angles: 90.00 90.00 90.00
Fractional coordinates of all 4 atoms:
1 K 0.000 0.000 0.000
2 Zn 0.500 0.500 0.000
3 Tc 0.000 0.500 0.500
4 Tc 0.500 0.000 0.500

[13]
First-principles (PBE) data for a relaxed structure of KZrTc2, as listed in Alexandria via LeMat-Bulk.

Properties
M_tot in μB per formula unit: 0.000

abc: 3.007 3.833 8.704
angles: 90.00 90.00 90.00
Fractional coordinates of all 4 atoms:
1 K 0.000 0.000 0.000
2 Zr 0.500 0.500 0.604
3 Tc 0.000 0.000 0.425
4 Tc 0.500 0.500 0.315

[14]
First-principles (PBE) data for a relaxed structure of KZrTc2, as listed in Alexandria via LeMat-Bulk.

Properties
M_tot in μB per formula unit: 0.581

abc: 3.099 3.099 9.686
angles: 90.00 90.00 90.00
Fractional coordinates of all 4 atoms:
1 K 0.000 0.000 0.000
2 Zr 0.500 0.500 0.626
3 Tc 0.000 0.000 0.426
4 Tc 0.500 0.500 0.292

[15]
First-principles (PBE) data for a relaxed structure of K2ZrTc, as listed in Alexandria via LeMat-Bulk.

Properties
M_tot in μB per formula unit: 0.711

abc: 4.027 4.027 6.365
angles: 90.00 90.00 90.00
Fractional coordinates of all 4 atoms:
1 K 0.000 0.500 0.000
2 K 0.500 0.000 0.000
3 Zr 0.000 0.000 0.500
4 Tc 0.500 0.500 0.500

no.,E_form (eV/f.u.)
1,2.02
2,3.35
3,1.96
4,2.34
5,3.36
6,3.41
7,5.26
8,4.46
9,4.83
10,4.54
11,2.60
12,4.49
13,2.06
14,1.95
15,4.45